Compound: CeSmErZr
Source: Alexandria
Functional: PBE
Structure: relaxed

CIF file:
```
data_CeSmErZr
_symmetry_space_group_name_H-M 'F -4 3 m'
_symmetry_Int_Tables_number 216
_symmetry_space_group_name_Hall 'F -4 2 3'
_cell_length_a 7.714
_cell_length_b 7.714
_cell_length_c 7.714
_cell_angle_alpha 90.00
_cell_angle_beta 90.00
_cell_angle_gamma 90.00
loop_
_atom_site_label
_atom_site_type_symbol
_atom_site_fract_x
_atom_site_fract_y
_atom_site_fract_z
Ce1 Ce 0.000 0.000 0.000
Sm1 Sm 0.000 0.000 0.500
Er1 Er 0.250 0.250 0.250
Zr1 Zr 0.250 0.250 0.750
```

Properties
- N(E_F) (states/eV per cell) = 35.65
- total magnetic moment (Bohr magnetons per cell) = 2.33
- formation energy from the elements (eV/atom) = 0.22
- E_tot (eV/atom) = -5.720